[1]
Entry from Alexandria via LeMat-Bulk: crystalline PmHoPb at its relaxed geometry (PBE-GGA).

Summary:
**Symmetry**: I4/mmm
**Relative energy among the computed polymorphs**: 0.000 eV/atom

Unit cell a=4.656 b=4.656 c=9.173 alpha=104.70 beta=104.70 gamma=90.01
Fractional coordinates of all 6 atoms:
Ho  0.000  0.500  0.000
Ho  0.500  0.000  0.000
Pb  0.135  0.135  0.270
Pb  0.865  0.865  0.730
Pm  0.325  0.325  0.649
Pm  0.675  0.675  0.351

---

[2]
Entry from Alexandria via LeMat-Bulk: crystalline BaReNi2P at its relaxed geometry (PBE-GGA).

Summary:
**Symmetry**: P4/mmm
**E_tot**: -4.980 eV/atom

Unit cell a=4.571 b=5.987 c=4.571 alpha=90.00 beta=90.00 gamma=90.00
Fractional coordinates of all 5 atoms:
Re  0.000  0.000  0.000
Ni  0.000  0.000  0.500
Ni  0.500  0.000  0.000
Ba  0.000  0.500  0.000
P  0.500  0.500  0.500

---

[3]
Entry from Alexandria via LeMat-Bulk: crystalline TlVMo2Pt at its relaxed geometry (PBE-GGA).

Summary:
**Symmetry**: P4/mmm
**E_tot**: -5.305 eV/atom

Unit cell a=4.917 b=4.729 c=4.917 alpha=90.00 beta=90.00 gamma=90.00
Fractional coordinates of all 5 atoms:
Tl  0.000  0.000  0.000
Mo  0.500  0.000  0.000
Mo  0.000  0.000  0.500
V  0.000  0.500  0.000
Pt  0.500  0.500  0.500

---

[4]
Entry from Alexandria via LeMat-Bulk: crystalline NdRuPb2O8 at its relaxed geometry (PBE-GGA).

Summary:
**Symmetry**: P2/m
**Formation energy (no corrections)**: -1319 meV/atom

Unit cell a=5.063 b=5.046 c=6.823 alpha=90.00 beta=90.00 gamma=88.99
Site moments in Bohr magnetons follow the coordinates.
Fractional coordinates of all 12 atoms:
O  0.323  0.312  0.500  0.02
O  0.677  0.688  0.500  0.02
O  0.181  0.809  0.789  0.14
O  0.818  0.191  0.789  0.14
O  0.182  0.809  0.211  0.14
O  0.712  0.723  0.000  0.06
O  0.819  0.191  0.211  0.14
O  0.288  0.277  0.000  0.06
Pb  0.500  0.500  0.242  0.01
Pb  0.500  0.500  0.758  0.01
Nd  0.000  0.000  0.500  0.01
Ru  0.000  0.000  0.000  1.59

---

[5]
Entry from Alexandria via LeMat-Bulk: crystalline YBrCl3 at its relaxed geometry (PBE-GGA).

Summary:
**Symmetry**: Pm-3m
**Relative energy among the computed polymorphs**: 1.501 eV/atom
**Formation energy (no corrections)**: 3 meV/atom

Unit cell a=5.361 b=5.361 c=5.361 alpha=90.00 beta=90.00 gamma=90.00
Site moments in Bohr magnetons follow the coordinates.
Fractional coordinates of all 5 atoms:
Cl  0.500  0.000  0.000  0.00
Cl  0.000  0.000  0.500  -0.03
Cl  0.000  0.500  0.000  -0.02
Y  0.500  0.500  0.500  0.66
Br  0.000  0.000  0.000  -0.06

---

[6]
Entry from Alexandria via LeMat-Bulk: crystalline In2TcP at its relaxed geometry (PBE-GGA).

Summary:
**Symmetry**: I4/mmm
**E_tot**: -4.793 eV/atom

Unit cell a=5.228 b=5.228 c=5.228 alpha=133.76 beta=133.76 gamma=67.47
Site moments in Bohr magnetons follow the coordinates.
Fractional coordinates of all 4 atoms:
In  0.250  0.750  0.500  -0.01
In  0.750  0.250  0.500  -0.01
Tc  0.000  0.000  0.000  1.17
P  0.500  0.500  0.000  0.04

---

no.,spin magnetization (Bohr magnetons per cell),volume (A^3/atom)
1,0.09,30.938
2,0.00,25.016
3,0.00,22.866
4,2.57,14.526
5,0.90,30.819
6,1.39,18.328